Computed, not measured: crystalline CeMn2PO8 at its relaxed geometry at the PBE+U level of DFT.

Unit cell a=4.922 b=4.922 c=6.083 alpha=90.00 beta=90.00 gamma=120.00
Element x y z (fractional)
1 Ce 0.000 0.000 0.500
2 Mn 0.667 0.333 0.869
3 Mn 0.333 0.667 0.131
4 P 0.000 0.000 0.000
5 O 0.841 0.681 0.163
6 O 0.319 0.159 0.163
7 O 0.841 0.159 0.163
8 O 0.159 0.319 0.837
9 O 0.681 0.841 0.837
10 O 0.159 0.841 0.837
11 O 0.667 0.333 0.573
12 O 0.333 0.667 0.427

Calculated values
- Total DFT energy (no corrections): -0.5232 Ry/atom
- Calculated density: 5.321 g cm⁻³
- Density of states at the Fermi level: 0.46 states/eV per atom
- Crystal system: trigonal